[1]
Compound: YEr2Ga3AgPd2
Source: OQMD via LeMat-Bulk
Functional: PBE
Structure: relaxed

Uncorrected energy in eV per cell: -89.25

Lattice parameters (Å, degrees): 3.6787 13.0621 7.5206 90.00 90.00 90.00
Closest atoms and distances in Å follow each position.
Space group Amm2 (No. 38)
One atom of each set of equivalent atoms:
Y1 0.0000 0.0000 0.0000 [2 per cell]  4 Pd 2.96, 6 Ga 3.04-3.27, 1 Ag 3.07
Er1 0.0000 0.2036 0.6098 [4 per cell]  4 Pd 2.92, 4 Ga 3.04-3.26, 1 Ag 3.06
Ga1 0.5000 0.0000 0.6775 [2 per cell]  2 Ag 2.74, 2 Pd 2.79, 2 Y 3.04
Ga2 0.5000 0.1358 0.2712 [4 per cell]  2 Pd 2.75-2.78, 2 Ag 2.76, 2 Er 3.04
Ag1 0.0000 0.0000 0.4083 [2 per cell]  6 Ga 2.74-2.76, 2 Er 3.06
Pd1 0.5000 0.1687 0.9054 [4 per cell]  3 Ga 2.75-2.79, 4 Er 2.92, 2 Y 2.96

[2]
Compound: ErTmGa4Ag2
Source: OQMD via LeMat-Bulk
Functional: PBE
Structure: relaxed

Uncorrected energy in eV per cell: -60.82

Lattice parameters (Å, degrees): 6.6112 4.4960 10.4297 90.00 90.00 90.00
Closest atoms and distances in Å follow each position.
Space group Amm2 (No. 38)
One atom of each set of equivalent atoms:
Er1 0.0000 0.0000 0.0000 [2 per cell]  6 Ga 3.01-3.30, 3 Ag 3.04-3.13
Tm1 0.5000 0.0000 0.8170 [2 per cell]  6 Ga 3.01-3.30, 3 Ag 3.04-3.12
Ga1 0.2003 0.0000 0.2903 [4 per cell]  2 Ga 2.56-2.65, 3 Ag 2.74-2.75
Ga2 0.3003 0.0000 0.5272 [4 per cell]  2 Ga 2.56-2.64, 3 Ag 2.74
Ag1 0.0000 0.0000 0.7084 [2 per cell]  6 Ga 2.74-2.75, 1 Er 3.04
Ag2 0.5000 0.0000 0.1089 [2 per cell]  6 Ga 2.74, 1 Tm 3.04

[3]
Compound: GdErAg2
Source: OQMD via LeMat-Bulk
Functional: PBE
Structure: relaxed

Uncorrected energy in eV per cell: -16.19

Lattice parameters (Å, degrees): 3.5947 3.5947 7.3532 90.00 90.00 90.00
Closest atoms and distances in Å follow each position.
Space group P4/mmm (No. 123)
One atom of each set of equivalent atoms:
Gd1 0.0000 0.0000 0.0000 [1 per cell]  8 Ag 3.20
Er1 0.0000 0.0000 0.5000 [1 per cell]  8 Ag 3.08
Ag1 0.5000 0.5000 0.2635 [2 per cell]  4 Er 3.08, 4 Gd 3.20

[4]
Compound: GdErAg2
Source: OQMD via LeMat-Bulk
Functional: PBE
Structure: relaxed

Uncorrected energy in eV per cell: -32.09

Lattice parameters (Å, degrees): 4.7730 3.7012 11.0066 90.00 90.00 90.00
Closest atoms and distances in Å follow each position.
Space group Amm2 (No. 38)
One atom of each set of equivalent atoms:
Gd1 0.0000 0.0000 0.0000 [2 per cell]  7 Ag 3.03-3.10
Er1 0.5000 0.0000 0.7139 [2 per cell]  7 Ag 3.05-3.09
Ag1 0.0000 0.0000 0.2749 [2 per cell]  2 Ag 2.98, 3 Gd 3.03-3.09, 4 Er 3.09
Ag2 0.5000 0.0000 0.4368 [2 per cell]  2 Ag 2.98, 3 Er 3.05-3.07, 4 Gd 3.10

[5]
Compound: Gd2ErIn3AgIr2
Source: OQMD via LeMat-Bulk
Functional: PBE
Structure: relaxed

Uncorrected energy in eV per cell: -96.20

Lattice parameters (Å, degrees): 3.8663 13.3251 7.7379 90.00 90.00 90.00
Closest atoms and distances in Å follow each position.
Space group Amm2 (No. 38)
One atom of each set of equivalent atoms:
Gd1 0.0000 0.2063 0.0000 [4 per cell]  4 Ir 3.03-3.04, 4 In 3.14-3.40, 1 Ag 3.18
Er1 0.0000 0.0000 0.3811 [2 per cell]  4 Ir 3.00, 2 In 3.13, 1 Ag 3.18
In1 0.5000 0.0000 0.0630 [2 per cell]  2 Ir 2.84, 2 Ag 2.85, 2 Er 3.13
In2 0.5000 0.1332 0.6592 [4 per cell]  2 Ag 2.82, 2 Ir 2.85-2.89, 2 Gd 3.14
Ag1 0.0000 0.0000 0.7927 [2 per cell]  6 In 2.82-2.85
Ir1 0.5000 0.1650 0.2948 [4 per cell]  3 In 2.84-2.89, 2 Er 3.00, 4 Gd 3.03-3.04

[6]
Compound: GdEr2In3Ni2Ag
Source: OQMD via LeMat-Bulk
Functional: PBE
Structure: relaxed

Uncorrected energy in eV per cell: -80.19

Lattice parameters (Å, degrees): 3.8900 13.0741 7.5336 90.00 90.00 90.00
Closest atoms and distances in Å follow each position.
Space group Amm2 (No. 38)
One atom of each set of equivalent atoms:
Gd1 0.0000 0.0000 0.0000 [2 per cell]  4 Ni 3.01, 6 In 3.09-3.37, 1 Ag 3.11
Er1 0.0000 0.2062 0.6170 [4 per cell]  4 Ni 2.98-2.99, 2 In 3.08, 1 Ag 3.10
In1 0.5000 0.0000 0.6818 [2 per cell]  2 Ni 2.80, 2 Ag 2.81, 2 Gd 3.09
In2 0.5000 0.1366 0.2769 [4 per cell]  2 Ni 2.75-2.78, 2 Ag 2.83, 2 Er 3.08
Ni1 0.5000 0.1681 0.9116 [4 per cell]  3 In 2.75-2.80, 4 Er 2.98-2.99, 2 Gd 3.01
Ag1 0.0000 0.0000 0.4130 [2 per cell]  6 In 2.81-2.83, 2 Er 3.10, 1 Gd 3.11

[7]
Compound: Gd2ErIn3Ni2Ag
Source: OQMD via LeMat-Bulk
Functional: PBE
Structure: relaxed

Uncorrected energy in eV per cell: -80.40

Lattice parameters (Å, degrees): 3.9309 13.0869 7.5637 90.00 90.00 90.00
Closest atoms and distances in Å follow each position.
Space group Amm2 (No. 38)
One atom of each set of equivalent atoms:
Gd1 0.0000 0.2064 0.0000 [4 per cell]  4 Ni 3.01-3.02, 2 In 3.10, 1 Ag 3.13
Er1 0.0000 0.0000 0.3795 [2 per cell]  4 Ni 2.99, 2 In 3.09, 1 Ag 3.12
In1 0.5000 0.0000 0.0641 [2 per cell]  2 Ni 2.77, 2 Ag 2.85, 2 Er 3.09
In2 0.5000 0.1341 0.6567 [4 per cell]  2 Ni 2.78-2.82, 2 Ag 2.83, 2 Gd 3.10
Ni1 0.5000 0.1652 0.2931 [4 per cell]  3 In 2.77-2.82, 2 Er 2.99, 4 Gd 3.01-3.02
Ag1 0.0000 0.0000 0.7914 [2 per cell]  6 In 2.83-2.85, 1 Er 3.12, 2 Gd 3.13

[8]
Compound: GdEr2In3AgPd2
Source: OQMD via LeMat-Bulk
Functional: PBE
Structure: relaxed

Uncorrected energy in eV per cell: -82.74

Lattice parameters (Å, degrees): 3.7780 13.5827 7.8132 90.00 90.00 90.00
Closest atoms and distances in Å follow each position.
Space group Amm2 (No. 38)
One atom of each set of equivalent atoms:
Gd1 0.0000 0.0000 0.0000 [2 per cell]  4 Pd 3.05, 6 In 3.16-3.40, 1 Ag 3.21
Er1 0.0000 0.2048 0.6140 [4 per cell]  4 Pd 3.02, 2 In 3.15, 1 Ag 3.20
In1 0.5000 0.0000 0.6762 [2 per cell]  2 Ag 2.81, 2 Pd 2.92
In2 0.5000 0.1351 0.2759 [4 per cell]  2 Ag 2.84, 2 Pd 2.86-2.91, 2 Er 3.15
Ag1 0.0000 0.0000 0.4107 [2 per cell]  6 In 2.81-2.84
Pd1 0.5000 0.1685 0.9086 [4 per cell]  3 In 2.86-2.92, 4 Er 3.02, 2 Gd 3.05

[9]
Compound: Gd2ErIn3AgPd2
Source: OQMD via LeMat-Bulk
Functional: PBE
Structure: relaxed

Uncorrected energy in eV per cell: -82.96

Lattice parameters (Å, degrees): 3.8081 13.5616 7.8530 90.00 90.00 90.00
Closest atoms and distances in Å follow each position.
Space group Amm2 (No. 38)
One atom of each set of equivalent atoms:
Gd1 0.0000 0.2047 0.0000 [4 per cell]  4 Pd 3.05, 6 In 3.17-3.42, 1 Ag 3.21
Er1 0.0000 0.0000 0.6142 [2 per cell]  4 Pd 3.02, 2 In 3.16, 1 Ag 3.21
In1 0.5000 0.0000 0.9355 [2 per cell]  2 Ag 2.85, 2 Pd 2.88, 2 Er 3.16
In2 0.5000 0.1332 0.3396 [4 per cell]  2 Ag 2.83, 2 Pd 2.89-2.94
Ag1 0.0000 0.0000 0.2060 [2 per cell]  6 In 2.83-2.85
Pd1 0.5000 0.1649 0.7040 [4 per cell]  3 In 2.88-2.94, 2 Er 3.02, 4 Gd 3.05

[10]
Compound: Gd2ErIn3AgPt2
Source: OQMD via LeMat-Bulk
Functional: PBE
Structure: relaxed

Uncorrected energy in eV per cell: -88.85

Lattice parameters (Å, degrees): 3.7851 13.5534 7.8398 90.00 90.00 90.00
Closest atoms and distances in Å follow each position.
Space group Amm2 (No. 38)
One atom of each set of equivalent atoms:
Gd1 0.0000 0.2050 0.0000 [4 per cell]  4 Pt 3.04, 6 In 3.15-3.41, 1 Ag 3.21
Er1 0.0000 0.0000 0.3848 [2 per cell]  4 Pt 3.01, 2 In 3.15, 1 Ag 3.21
In1 0.5000 0.0000 0.0640 [2 per cell]  2 Ag 2.84, 2 Pt 2.88, 2 Er 3.15
In2 0.5000 0.1336 0.6601 [4 per cell]  2 Ag 2.82, 2 Pt 2.88-2.94, 2 Gd 3.15
Ag1 0.0000 0.0000 0.7941 [2 per cell]  6 In 2.82-2.84
Pt1 0.5000 0.1645 0.2961 [4 per cell]  3 In 2.88-2.94, 2 Er 3.01, 4 Gd 3.04

[11]
Compound: Gd2ErTl3AgIr2
Source: OQMD via LeMat-Bulk
Functional: PBE
Structure: relaxed

Uncorrected energy in eV per cell: -90.78

Lattice parameters (Å, degrees): 3.8123 13.5459 7.8759 90.00 90.00 90.00
Closest atoms and distances in Å follow each position.
Space group Amm2 (No. 38)
One atom of each set of equivalent atoms:
Gd1 0.0000 0.2066 0.0000 [4 per cell]  4 Ir 3.04-3.06, 2 Tl 3.13, 1 Ag 3.24
Er1 0.0000 0.0000 0.3800 [2 per cell]  4 Ir 3.01, 2 Tl 3.13, 1 Ag 3.25
Tl1 0.5000 0.0000 0.0647 [2 per cell]  2 Ag 2.87, 2 Ir 2.88, 2 Er 3.13
Tl2 0.5000 0.1349 0.6582 [4 per cell]  2 Ag 2.85, 2 Ir 2.89-2.92, 2 Gd 3.13
Ag1 0.0000 0.0000 0.7930 [2 per cell]  6 Tl 2.85-2.87
Ir1 0.5000 0.1649 0.2952 [4 per cell]  3 Tl 2.88-2.92, 2 Er 3.01, 4 Gd 3.04-3.06

[12]
Compound: Gd2ErMg3AgPt2
Source: OQMD via LeMat-Bulk
Functional: PBE
Structure: relaxed

Uncorrected energy in eV per cell: -80.11

Lattice parameters (Å, degrees): 4.0320 13.0190 7.5579 90.00 90.00 90.00
Closest atoms and distances in Å follow each position.
Space group Amm2 (No. 38)
One atom of each set of equivalent atoms:
Gd1 0.0000 0.2101 0.0000 [4 per cell]  4 Pt 3.04-3.05, 1 Ag 3.17, 2 Mg 3.19
Er1 0.0000 0.0000 0.6292 [2 per cell]  4 Pt 3.00, 1 Ag 3.15, 2 Mg 3.19
Mg1 0.5000 0.0000 0.9564 [2 per cell]  2 Ag 2.79, 2 Pt 2.84
Mg2 0.5000 0.1258 0.3370 [4 per cell]  2 Ag 2.76, 2 Pt 2.85-2.90
Ag1 0.0000 0.0000 0.2123 [2 per cell]  6 Mg 2.76-2.79
Pt1 0.5000 0.1643 0.7084 [4 per cell]  3 Mg 2.84-2.90, 2 Er 3.00, 4 Gd 3.04-3.05